(1)
The following is a PBE-GGA calculation of MnCdP2 after structural relaxation, from Alexandria via LeMat-Bulk.

POSCAR file:
```
MnCdP2
1.0
7.5275 -1.6083 -0.0156
7.5275 1.6083 -0.0156
7.1896 0.0000 2.7495
P Mn Cd
2 1 1
direct
0.7321 0.7321 0.7321
0.0046 0.0046 0.0046
0.2638 0.2638 0.2638
0.4996 0.4996 0.4996
```

* total DFT energy (no corrections): -20.1 eV per cell
* space group: R3m, No. 160

(2)
The following is a PBE-GGA calculation of BaCrSb2 after structural relaxation, from Alexandria via LeMat-Bulk.

POSCAR file:
```
BaCrSb2
1.0
-1.4338 4.0854 -4.5482
-0.3980 -2.3801 -5.7973
-2.3263 -1.4635 5.6462
Ba Sb Cr
1 2 1
direct
0.5000 0.5000 0.0000
0.2500 0.7500 0.5000
0.0000 0.0000 0.0000
0.7500 0.2500 0.5000
```

* space group: I-4m2, No. 119
* ΔE_f (raw): 0.055 eV/atom

(3)
The following is a PBE-GGA calculation of BAsPC after structural relaxation, from Alexandria via LeMat-Bulk.

POSCAR file:
```
BAsPC
1.0
-2.4784 -1.7021 -0.9197
2.9144 -1.0135 -0.6037
0.0612 -2.6792 4.7932
C As B P
1 1 1 1
direct
0.0000 0.0000 0.7442
0.3333 0.6667 0.2070
0.0000 0.0000 0.0334
0.6667 0.3333 0.6009
```

* distance to the lowest polymorph of the same formula: 116.0 meV per atom
* space group: P3m1, No. 156

no.,V (Å³/cell)
1,66.9
2,118.2
3,47.0